# 1
Material: KAsPt
Method: DFT, PBE
State: relaxed

Computed properties:
Final energy in eV for the cell shown: -26.278
Total magnetic moment in μB/atom: 0.001

a b c (Å): 4.1944 4.1944 10.6312
angles (deg): 90.00 90.00 120.00
Space group P6_3/mmc (No. 194)
Symmetry-distinct sites (fractional):
K 0.0000 0.0000 0.0000 [2 per cell]
As 0.3333 0.6667 0.2500 [2 per cell]
Pt 0.3333 0.6667 0.7500 [2 per cell]

# 2
Material: KAsPt
Method: DFT, PBE
State: relaxed

Computed properties:
Final energy in eV for the cell shown: -44.293
Total magnetic moment in μB/atom: 0.001

a b c (Å): 6.6572 6.6572 6.6572
angles (deg): 90.00 90.00 90.00
Space group F-43m (No. 216)
Symmetry-distinct sites (fractional):
K 0.0000 0.0000 0.0000 [4 per cell]
As 0.0000 0.0000 0.5000 [4 per cell]
Pt 0.2500 0.2500 0.7500 [4 per cell]

# 3
Material: KAsPt
Method: DFT, PBE
State: relaxed

Computed properties:
Final energy in eV for the cell shown: -34.701
Total magnetic moment in μB/atom: 0.005

a b c (Å): 6.8346 6.8346 6.8346
angles (deg): 90.00 90.00 90.00
Space group F-43m (No. 216)
Symmetry-distinct sites (fractional):
K 0.0000 0.0000 0.0000 [4 per cell]
As 0.2500 0.2500 0.7500 [4 per cell]
Pt 0.2500 0.2500 0.2500 [4 per cell]

# 4
Material: KAsPt
Method: DFT, PBE
State: relaxed

Computed properties:
Final energy in eV for the cell shown: -53.868
Total magnetic moment in μB/atom: 0.001

a b c (Å): 6.8188 6.8185 7.8128
angles (deg): 90.00 117.45 90.00
Space group P2_1/c (No. 14)
Symmetry-distinct sites (fractional):
K 0.1758 0.1258 0.3764 [4 per cell]
As 0.2949 0.6381 0.5754 [4 per cell]
Pt 0.4221 0.6179 0.3287 [4 per cell]

# 5
Material: K2As2Pt
Method: DFT, PBE
State: relaxed

Computed properties:
Final energy in eV for the cell shown: -39.409
Total magnetic moment in μB/atom: 0.001

a b c (Å): 6.5863 6.5863 5.5491
angles (deg): 90.00 90.00 90.00
Space group P4/mbm (No. 127)
Symmetry-distinct sites (fractional):
K 0.1748 0.3252 0.0000 [4 per cell]
As 0.1378 0.6378 0.5000 [4 per cell]
Pt 0.0000 0.0000 0.5000 [2 per cell]

# 6
Material: K3RbAs2Pt2
Method: DFT, PBE
State: relaxed

Computed properties:
Final energy in eV for the cell shown: -29.182
Total magnetic moment in μB/atom: 0.087

a b c (Å): 6.3578 5.9034 6.4189
angles (deg): 90.00 105.24 90.00
Space group Pm (No. 6)
Symmetry-distinct sites (fractional):
K 0.0000 0.0000 0.0000 [1 per cell]
K 0.2989 0.5000 0.3031 [1 per cell]
K 0.6546 0.0000 0.3396 [1 per cell]
Rb 0.9496 0.5000 0.6440 [1 per cell]
As 0.2340 0.0000 0.5661 [1 per cell]
As 0.7257 0.5000 0.0738 [1 per cell]
Pt 0.4680 0.2466 0.8363 [2 per cell]

# 7
Material: KRb2As2Pt3
Method: DFT, PBE
State: relaxed

Computed properties:
Final energy in eV for the cell shown: -101.200
Total magnetic moment in μB/atom: 0.000

a b c (Å): 5.8406 5.8406 21.6886
angles (deg): 90.00 90.00 120.00
Space group R-3m (No. 166, hexagonal axes)
Symmetry-distinct sites (fractional):
K 0.0000 0.0000 0.0000 [3 per cell]
Rb 0.0000 0.0000 0.4142 [6 per cell]
As 0.0000 0.0000 0.2505 [6 per cell]
Pt 0.0000 0.5000 0.5000 [9 per cell]

# 8
Material: K2RbAs2Pt3
Method: DFT, PBE
State: relaxed

Computed properties:
Final energy in eV for the cell shown: -102.998
Total magnetic moment in μB/atom: 0.001

a b c (Å): 5.7720 5.7720 21.2359
angles (deg): 90.00 90.00 120.00
Space group R-3m (No. 166, hexagonal axes)
Symmetry-distinct sites (fractional):
K 0.0000 0.0000 0.0837 [6 per cell]
Rb 0.0000 0.0000 0.5000 [3 per cell]
As 0.0000 0.0000 0.2469 [6 per cell]
Pt 0.0000 0.5000 0.0000 [9 per cell]

# 9
Material: K4SbAsPt2
Method: DFT, PBE
State: relaxed

Computed properties:
Final energy in eV for the cell shown: -57.260
Total magnetic moment in μB/atom: 0.120

a b c (Å): 5.9305 10.3417 7.8619
angles (deg): 90.00 90.00 90.00
Space group Amm2 (No. 38)
Symmetry-distinct sites (fractional):
K 0.0000 0.1692 0.0000 [4 per cell]
K 0.5000 0.1801 0.3165 [4 per cell]
Sb 0.0000 0.0000 0.4026 [2 per cell]
As 0.5000 0.0000 0.9239 [2 per cell]
Pt 0.2500 0.0000 0.6775 [4 per cell]

# 10
Material: KRbSm2As2
Method: DFT, PBE
State: relaxed

Computed properties:
Final energy in eV for the cell shown: -24.171
Total magnetic moment in μB/atom: 0.057

a b c (Å): 4.4618 4.4618 15.0798
angles (deg): 90.00 90.00 120.00
Space group P3m1 (No. 156)
Symmetry-distinct sites (fractional):
K 0.0000 0.0000 0.0000 [1 per cell]
Rb 0.6667 0.3333 0.4982 [1 per cell]
Sm 0.3333 0.6667 0.2264 [1 per cell]
Sm 0.3333 0.6667 0.7372 [1 per cell]
As 0.0000 0.0000 0.6600 [1 per cell]
As 0.6667 0.3333 0.1486 [1 per cell]

# 11
Material: KRbTm2As2
Method: DFT, PBE
State: relaxed

Computed properties:
ΔE to the lowest computed polymorph in meV/atom: 177
Final energy in eV for the cell shown: -23.444
Total magnetic moment in μB/atom: 0.003

a b c (Å): 4.3769 4.3769 14.8028
angles (deg): 90.00 90.00 120.00
Space group P3m1 (No. 156)
Symmetry-distinct sites (fractional):
K 0.0000 0.0000 0.0000 [1 per cell]
Rb 0.3333 0.6667 0.5020 [1 per cell]
Tm 0.6667 0.3333 0.2613 [1 per cell]
Tm 0.6667 0.3333 0.7719 [1 per cell]
As 0.0000 0.0000 0.3334 [1 per cell]
As 0.3333 0.6667 0.8443 [1 per cell]

# 12
Material: KRbTm2As2
Method: DFT, PBE
State: relaxed

Computed properties:
ΔE to the lowest computed polymorph in meV/atom: 0
Final energy in eV for the cell shown: -24.506
Total magnetic moment in μB/atom: 0.004

a b c (Å): 4.9340 4.9340 8.2017
angles (deg): 90.00 90.00 90.00
Space group P4mm (No. 99)
Symmetry-distinct sites (fractional):
K 0.0000 0.0000 0.0000 [1 per cell]
Rb 0.5000 0.5000 0.7499 [1 per cell]
Tm 0.0000 0.5000 0.3695 [2 per cell]
As 0.0000 0.0000 0.5511 [1 per cell]
As 0.5000 0.5000 0.1936 [1 per cell]

# 13
Material: KRbZn2As2
Method: DFT, PBE
State: relaxed

Computed properties:
Final energy in eV for the cell shown: -16.697

a b c (Å): 4.2696 4.2696 10.6327
angles (deg): 90.00 90.00 120.00
Space group P-3m1 (No. 164)
Symmetry-distinct sites (fractional):
K 0.0000 0.0000 0.0000 [1 per cell]
Rb 0.0000 0.0000 0.5000 [1 per cell]
Zn 0.3333 0.6667 0.2431 [2 per cell]
As 0.3333 0.6667 0.7563 [2 per cell]

# 14
Material: KTbAsS3
Method: DFT, PBE
State: relaxed

Computed properties:
Final energy in eV for the cell shown: -116.843
Total magnetic moment in μB/atom: 0.000

a b c (Å): 4.2060 15.2519 10.8844
angles (deg): 90.00 90.00 90.00
Space group Cmcm (No. 63)
Symmetry-distinct sites (fractional):
K 0.0000 0.2143 0.2500 [4 per cell]
Tb 0.0000 0.5000 0.0000 [4 per cell]
As 0.0000 0.1016 0.7500 [4 per cell]
S 0.0000 0.1179 0.5092 [8 per cell]
S 0.0000 0.4754 0.2500 [4 per cell]

# 15
Material: K2Zn2SbAs
Method: DFT, PBE
State: relaxed

Computed properties:
Final energy in eV for the cell shown: -16.039

a b c (Å): 4.4304 4.4304 10.4980
angles (deg): 90.00 90.00 120.00
Space group P-6m2 (No. 187)
Symmetry-distinct sites (fractional):
K 0.0000 0.0000 0.2439 [2 per cell]
Zn 0.3333 0.6667 0.5000 [1 per cell]
Zn 0.6667 0.3333 0.0000 [1 per cell]
Sb 0.6667 0.3333 0.5000 [1 per cell]
As 0.3333 0.6667 0.0000 [1 per cell]

# 16
Material: K3Ta2AsSe11
Method: DFT, PBE
State: relaxed

Computed properties:
Final energy in eV for the cell shown: -329.774
Total magnetic moment in μB/atom: 0.000

a b c (Å): 15.2149 13.3905 10.0467
angles (deg): 90.00 99.35 90.00
Space group Cc (No. 9)
Symmetry-distinct sites (fractional):
K 0.0000 0.0681 0.0000 [4 per cell]
K 0.2588 0.4230 0.8438 [4 per cell]
K 0.3814 0.0839 0.7447 [4 per cell]
Ta 0.1157 0.2062 0.4151 [4 per cell]
Ta 0.2998 0.2729 0.2310 [4 per cell]
As 0.0364 0.3452 0.6845 [4 per cell]
Se 0.1036 0.1835 0.6722 [4 per cell]
Se 0.1055 0.4001 0.4893 [4 per cell]
Se 0.1318 0.3389 0.2100 [4 per cell]
Se 0.1719 0.2484 0.0214 [4 per cell]
Se 0.1936 0.0982 0.2513 [4 per cell]
Se 0.1997 0.0391 0.4774 [4 per cell]
Se 0.2900 0.2983 0.4890 [4 per cell]
Se 0.3690 0.4229 0.1733 [4 per cell]
Se 0.3815 0.1541 0.0776 [4 per cell]
Se 0.4088 0.1947 0.4285 [4 per cell]
Se 0.4641 0.3290 0.8295 [4 per cell]

# 17
Material: KTbAsSe3
Method: DFT, PBE
State: relaxed

Computed properties:
Final energy in eV for the cell shown: -106.033
Total magnetic moment in μB/atom: 0.052

a b c (Å): 4.2968 15.9110 10.3151
angles (deg): 90.00 90.00 90.00
Space group Cmcm (No. 63)
Symmetry-distinct sites (fractional):
K 0.0000 0.2441 0.2500 [4 per cell]
Tb 0.0000 0.0000 0.0000 [4 per cell]
As 0.0000 0.4608 0.7500 [4 per cell]
Se 0.0000 0.0965 0.7500 [4 per cell]
Se 0.0000 0.3755 0.5464 [8 per cell]

# 18
Material: K2TaAs2
Method: DFT, PBE
State: relaxed

Computed properties:
Final energy in eV for the cell shown: -102.257
Total magnetic moment in μB/atom: 0.200

a b c (Å): 7.4193 13.5708 6.4535
angles (deg): 90.00 90.00 90.00
Space group Ibam (No. 72)
Symmetry-distinct sites (fractional):
K 0.1521 0.1519 0.0000 [8 per cell]
Ta 0.0000 0.5000 0.2500 [4 per cell]
As 0.1903 0.3996 0.0000 [8 per cell]

# 19
Material: KTa3As5
Method: DFT, PBE
State: relaxed

Computed properties:
Final energy in eV for the cell shown: -62.710
Total magnetic moment in μB/atom: 0.001

a b c (Å): 5.6652 5.6652 8.1628
angles (deg): 90.00 90.00 120.00
Space group P6/mmm (No. 191)
Symmetry-distinct sites (fractional):
K 0.0000 0.0000 0.0000 [1 per cell]
Ta 0.0000 0.5000 0.5000 [3 per cell]
As 0.0000 0.0000 0.5000 [1 per cell]
As 0.3333 0.6667 0.2419 [4 per cell]

# 20
Material: KTbTe3As
Method: DFT, PBE
State: relaxed

Computed properties:
Final energy in eV for the cell shown: -96.396
Total magnetic moment in μB/atom: 0.030

a b c (Å): 4.4605 16.8355 11.1535
angles (deg): 90.00 90.00 90.00
Space group Cmcm (No. 63)
Symmetry-distinct sites (fractional):
K 0.0000 0.2371 0.2500 [4 per cell]
Tb 0.0000 0.0000 0.0000 [4 per cell]
Te 0.0000 0.0937 0.7500 [4 per cell]
Te 0.0000 0.3713 0.5443 [8 per cell]
As 0.0000 0.4599 0.7500 [4 per cell]